Material: MgAu
Method: DFT, meta-GGA SCAN
State: single point on PBEsol structure

## Properties
DFT formation energy, kcal/mol of atoms: -16.2
Total moment, μB per atom: 0.00
Density of states at the Fermi level, states/eV/atom: 0.21
Symmetry: I4_1/amd (141)
E_tot, eV per cell: -302.14

Lattice parameters (Å, degrees): 3.958 3.958 8.752 90.00 90.00 90.00
Positions (direct):
1 Mg 0.000 0.250 0.375
2 Mg 0.000 0.750 0.625
3 Mg 0.500 0.250 0.125
4 Mg 0.500 0.750 0.875
5 Au 0.000 0.250 0.875
6 Au 0.000 0.750 0.125
7 Au 0.500 0.250 0.625
8 Au 0.500 0.750 0.375